# CsBaIn3 (PBEsol, relaxed)
data_CsBaIn3
_chemical_formula_sum 'Cs1 Ba1 In3'
_space_group_name_H-M_alt 'P m -3 m'
_space_group_IT_number 221
_space_group_name_Hall '-P 4 2 3'
_cell_length_a 6.109
_cell_length_b 6.109
_cell_length_c 6.109
_cell_angle_alpha 90.00
_cell_angle_beta 90.00
_cell_angle_gamma 90.00
loop_
_atom_site_label
_atom_site_type_symbol
_atom_site_fract_x
_atom_site_fract_y
_atom_site_fract_z
Cs1 Cs 0.000 0.000 0.000
Ba1 Ba 0.500 0.500 0.500
In1 In 0.000 0.000 0.500
# * volume: 45.6 A^3/atom
# * crystal system: cubic
# * energy of formation: 3.11 eV per formula unit

# FeI2NF (PBEsol, relaxed)
data_FeI2NF
_chemical_formula_sum 'Fe1 I2 N1 F1'
_space_group_name_H-M_alt 'P 4/m m m'
_space_group_IT_number 123
_space_group_name_Hall '-P 4 2'
_cell_length_a 5.220
_cell_length_b 5.220
_cell_length_c 3.349
_cell_angle_alpha 90.00
_cell_angle_beta 90.00
_cell_angle_gamma 90.00
loop_
_atom_site_label
_atom_site_type_symbol
_atom_site_fract_x
_atom_site_fract_y
_atom_site_fract_z
Fe1 Fe 0.000 0.000 0.000
I1 I 0.000 0.500 0.000
N1 N 0.000 0.000 0.500
F1 F 0.500 0.500 0.500
# * volume: 18.2 A^3/atom
# * crystal system: tetragonal
# * energy relative to the elements, uncorrected: 75 meV/atom

# Ca4IrO6 (PBEsol, relaxed)
data_Ca4IrO6
_chemical_formula_sum 'Ca24 Ir6 O36'
_space_group_name_H-M_alt 'R -3 c'
_space_group_IT_number 167
_space_group_name_Hall '-R 3 2"c'
_cell_length_a 9.2736
_cell_length_b 9.2736
_cell_length_c 11.1250
_cell_angle_alpha 90.00
_cell_angle_beta 90.00
_cell_angle_gamma 120.00
loop_
_atom_site_label
_atom_site_type_symbol
_atom_site_fract_x
_atom_site_fract_y
_atom_site_fract_z
Ca1 Ca 0.0000 0.0000 0.2500
Ca2 Ca 0.0000 0.3619 0.2500
Ir1 Ir 0.0000 0.0000 0.0000
O1 O 0.0316 0.1923 0.3955
# * volume: 12.6 A^3/atom
# * crystal system: trigonal
# * energy relative to the elements, uncorrected: -2408 meV/atom

# AlAg4 (PBEsol, relaxed)
data_AlAg4
_chemical_formula_sum 'Al2 Ag8'
_space_group_name_H-M_alt 'C 1 2/m 1'
_space_group_IT_number 12
_space_group_name_Hall '-C 2y'
_cell_length_a 9.560
_cell_length_b 2.880
_cell_length_c 6.984
_cell_angle_alpha 90.00
_cell_angle_beta 122.35
_cell_angle_gamma 90.00
loop_
_atom_site_label
_atom_site_type_symbol
_atom_site_fract_x
_atom_site_fract_y
_atom_site_fract_z
Al1 Al 0.000 0.000 0.000
Ag1 Ag 0.091 0.500 0.386
Ag2 Ag 0.212 0.000 0.803
# * volume: 16.2 A^3/atom
# * crystal system: monoclinic
# * energy of formation: -0.36 eV per formula unit

# CrNi2Rh (PBEsol, relaxed)
data_CrNi2Rh
_chemical_formula_sum 'Cr2 Ni4 Rh2'
_space_group_name_H-M_alt 'I 4/m m m'
_space_group_IT_number 139
_space_group_name_Hall '-I 4 2'
_cell_length_a 3.543
_cell_length_b 3.543
_cell_length_c 7.288
_cell_angle_alpha 90.00
_cell_angle_beta 90.00
_cell_angle_gamma 90.00
loop_
_atom_site_label
_atom_site_type_symbol
_atom_site_fract_x
_atom_site_fract_y
_atom_site_fract_z
Cr1 Cr 0.000 0.000 0.000
Ni1 Ni 0.000 0.500 0.250
Rh1 Rh 0.000 0.000 0.500
# * volume: 11.4 A^3/atom
# * crystal system: tetragonal
# * energy of formation: -0.05 eV per formula unit

# SrRe2BiSe (PBEsol, relaxed)
data_SrRe2BiSe
_chemical_formula_sum 'Sr1 Re2 Bi1 Se1'
_space_group_name_H-M_alt 'P 4/m m m'
_space_group_IT_number 123
_space_group_name_Hall '-P 4 2'
_cell_length_a 5.021
_cell_length_b 5.021
_cell_length_c 6.302
_cell_angle_alpha 90.00
_cell_angle_beta 90.00
_cell_angle_gamma 90.00
loop_
_atom_site_label
_atom_site_type_symbol
_atom_site_fract_x
_atom_site_fract_y
_atom_site_fract_z
Sr1 Sr 0.000 0.000 0.000
Re1 Re 0.000 0.500 0.500
Bi1 Bi 0.000 0.000 0.500
Se1 Se 0.500 0.500 0.000
# * volume: 31.8 A^3/atom
# * crystal system: tetragonal
# * energy relative to the elements, uncorrected: 2027 meV/atom